No. 1
## HfMn3Zn (PBE)

Data for HfMn3Zn after structural relaxation.

Results
Electronic total energy: -6.866 eV/atom
Magnetization: 1.786 μB per atom
Distance to the lowest polymorph of the same formula: 0.00 eV per formula unit
Space group: Pm-3m, No. 221
Formation energy from the elements: 4.4 eV per formula unit

POSCAR file:
```
HfMn3Zn
1.0
-4.216 0.999 1.190
-1.314 -4.130 -1.186
0.830 -1.461 4.167
Hf Mn Zn
1 3 1
direct
0.500 0.500 0.500
0.000 0.000 0.500
0.500 0.000 0.000
0.000 0.500 0.000
0.000 0.000 0.000
```

---

No. 2
## YMn2 (PBE)

Data for YMn2 after structural relaxation.

Results
Electronic total energy: -8.102 eV/atom
Magnetization: 0.175 μB per atom
Space group: Fd-3m, No. 227
Formation energy from the elements: 0.5 eV per formula unit

POSCAR file:
```
YMn2
1.0
0.000 3.616 3.616
3.616 0.000 3.616
3.616 3.616 0.000
Mn Y
4 2
direct
0.125 0.625 0.625
0.625 0.125 0.625
0.625 0.625 0.625
0.625 0.625 0.125
0.250 0.250 0.250
0.000 0.000 0.000
```

---

No. 3
## PrErH8Ir2 (PBE)

Data for PrErH8Ir2 after structural relaxation.

Results
Electronic total energy: -4.767 eV/atom
Magnetization: 0.000 μB per atom
Space group: R-3, No. 148

POSCAR file:
```
PrErH8Ir2
1.0
-2.365 -1.511 3.974
-2.396 -4.234 -0.058
3.482 -4.809 3.221
H Ir Er Pr
8 2 1 1
direct
0.558 0.370 0.179
0.442 0.630 0.821
0.178 0.178 0.467
0.370 0.893 0.179
0.107 0.442 0.821
0.822 0.822 0.533
0.630 0.107 0.821
0.893 0.558 0.179
0.265 0.265 0.204
0.735 0.735 0.796
0.000 0.000 0.000
0.500 0.500 0.500
```

---

No. 4
## CrRu2Se (PBE)

Data for CrRu2Se after structural relaxation.

Results
Electronic total energy: -7.637 eV/atom
Magnetization: 0.452 μB per atom
Space group: Pmm2, No. 25
Uncorrected formation energy: 0.278 eV/atom

POSCAR file:
```
CrRu2Se
1.0
-0.786 2.565 -1.142
-2.727 0.325 2.606
3.370 2.465 3.219
Se Ru Cr
1 2 1
direct
0.000 0.000 0.472
0.000 0.000 0.960
0.500 0.500 0.281
0.500 0.500 0.787
```

---

No. 5
## KBeAl (PBE)

Data for KBeAl after structural relaxation.

Results
Electronic total energy: -2.367 eV/atom
Magnetization: 0.000 μB per atom
Distance to the lowest polymorph of the same formula: 0.00 eV per formula unit
Space group: Imm2, No. 44
Formation energy from the elements: 1.5 eV per formula unit

POSCAR file:
```
KBeAl
1.0
6.618 -0.002 -0.008
4.811 4.544 0.008
-5.399 -3.064 2.292
K Be Al
1 1 1
direct
0.665 0.665 0.000
0.397 0.397 0.000
0.937 0.937 0.000
```

---

No. 6
## DyY3Sc2Se6 (PBE)

Data for DyY3Sc2Se6 after structural relaxation.

Results
Electronic total energy: -6.496 eV/atom
Magnetization: 0.000 μB per atom
Space group: C2/m, No. 12
Uncorrected formation energy: -1.699 eV/atom

POSCAR file:
```
DyY3Sc2Se6
1.0
-3.288 4.402 -4.265
-2.146 -0.765 6.572
5.856 3.623 1.110
Se Y Sc Dy
6 3 2 1
direct
0.577 0.920 0.760
0.920 0.577 0.760
0.736 0.736 0.236
0.423 0.080 0.240
0.080 0.423 0.240
0.264 0.264 0.764
0.161 0.839 0.500
0.839 0.161 0.500
0.500 0.500 0.500
0.334 0.666 0.000
0.666 0.334 0.000
0.000 0.000 0.000
```